No. 1
The following is a GGA-PBE calculation of Cs4AgBi after structural relaxation, from Alexandria.

The structure in POSCAR format:
```
Cs4AgBi
1.0
8.1120 0.0064 -2.7253
-3.6902 8.7887 -4.1508
0.1738 -0.0391 10.5465
Cs Bi Ag
8 2 2
Direct
0.0133 0.2572 0.8942
0.3808 0.6369 0.8942
0.9867 0.7428 0.1058
0.3734 0.9502 0.6442
0.2292 0.3060 0.3558
0.6192 0.3631 0.1058
0.6266 0.0498 0.3558
0.7708 0.6940 0.6442
0.3885 0.6385 0.2770
0.6115 0.3615 0.7230
0.2406 0.9906 0.9812
0.7594 0.0094 0.0188
```

Values from the calculation:
**Density of states at the Fermi level**: 0.0575 states/eV/atom
**E_form**: -0.20 eV per atom
**Final energy**: -22.66 eV for the cell shown

***

No. 2
The following is a GGA-PBE calculation of MnSiB after structural relaxation, from Alexandria.

The structure in POSCAR format:
```
MnSiB
1.0
-1.8987 4.2665 -3.5841
-2.2422 -1.7035 -0.8401
-3.0658 0.3197 7.5346
Si B Mn
4 4 4
Direct
0.4676 0.0000 0.1534
0.4676 0.5000 0.6534
0.8928 0.0000 0.5615
0.8928 0.5000 0.0615
0.2688 0.0000 0.3174
0.1730 0.5000 0.3782
0.2688 0.5000 0.8174
0.1730 0.0000 0.8782
0.5430 0.0000 0.8922
0.5430 0.5000 0.3922
0.9047 0.5000 0.7848
0.9047 0.0000 0.2848
```

Values from the calculation:
**Density of states at the Fermi level**: 0.1810 states/eV/atom
**Energy relative to the lowest polymorph listed for this composition**: 214 meV per atom
**E_form (uncorrected)**: -0.41 eV/f.u.
**Final energy**: -86.73 eV for the cell shown

***

No. 3
The following is a GGA-PBE calculation of CeAlZn11 after structural relaxation, from Alexandria.

The structure in POSCAR format:
```
CeAlZn11
1.0
-0.8731 4.6109 -2.3571
-6.4248 0.6261 -2.3035
-2.1839 4.8147 4.3773
Zn Al Ce
11 1 1
Direct
0.9993 0.6457 0.3558
0.4989 0.2171 0.7795
0.7216 0.7829 0.7795
0.0000 0.0000 0.5000
0.0000 0.5000 0.0000
0.0007 0.3543 0.6442
0.5011 0.7829 0.2205
0.3551 0.6457 0.6442
0.6449 0.3543 0.3558
0.2784 0.2171 0.2205
0.5000 0.0000 0.5000
0.5000 0.5000 0.0000
0.0000 0.0000 0.0000
```

Values from the calculation:
**Density of states at the Fermi level**: 0.6871 states/eV/atom
**E_form**: -0.16 eV per atom
**Final energy**: -25.80 eV for the cell shown

***

No. 4
The following is a GGA-PBE calculation of Sc6Mn2In after structural relaxation, from Alexandria.

The structure in POSCAR format:
```
Sc6Mn2In
1.0
-0.9085 5.0317 -5.9856
6.9469 -3.6773 -0.4355
-5.5474 -5.5819 -0.2015
Sc Mn In
12 4 2
Direct
0.7804 0.7643 0.5447
0.7804 0.2357 0.0162
0.2196 0.2357 0.4553
0.2912 0.9799 0.6886
0.7088 0.0201 0.3114
0.2912 0.6026 0.3114
0.0963 0.2882 0.8081
0.5199 0.7118 0.8081
0.7088 0.3974 0.6886
0.2196 0.7643 0.9838
0.4801 0.2882 0.1919
0.9037 0.7118 0.1919
0.5000 0.3883 0.8883
0.6208 0.0000 0.6208
0.5000 0.6117 0.1117
0.3792 0.0000 0.3792
0.0000 0.5000 0.5000
0.0000 0.0000 0.0000
```

Values from the calculation:
**Density of states at the Fermi level**: 1.1593 states/eV/atom
**E_form**: -0.14 eV per atom
**Final energy**: -120.65 eV for the cell shown

***

No. 5
The following is a GGA-PBE calculation of Ac2NpAlN5 after structural relaxation, from Alexandria.

The structure in POSCAR format:
```
Ac2NpAlN5
1.0
-1.0463 0.9773 -3.2453
7.1471 -2.0289 -0.9767
-3.2054 -10.2964 -2.0671
N Np Al Ac
10 2 2 4
Direct
0.0521 0.1043 0.0185
0.4960 0.9921 0.7896
0.6573 0.3147 0.5084
0.6859 0.3718 0.8976
0.2873 0.5746 0.6438
0.7127 0.4254 0.1438
0.3141 0.6282 0.3976
0.9479 0.8957 0.5185
0.3427 0.6853 0.0084
0.5040 0.0079 0.2896
0.7965 0.5931 0.5221
0.2035 0.4069 0.0221
0.4485 0.8970 0.4411
0.5515 0.1030 0.9411
0.1293 0.2587 0.3192
0.1041 0.2082 0.6838
0.8959 0.7918 0.1838
0.8707 0.7413 0.8192
```

Values from the calculation:
**Density of states at the Fermi level**: 0.1931 states/eV/atom
**E_form (uncorrected)**: -10.31 eV/f.u.
**Final energy**: -153.68 eV for the cell shown

***

No. 6
The following is a GGA-PBE calculation of SrCaY2Pt after structural relaxation, from Alexandria.

The structure in POSCAR format:
```
SrCaY2Pt
1.0
-1.7981 -5.0686 -1.3162
1.6459 -1.8681 4.9455
-5.2178 1.2750 2.2181
Pt Sr Y Ca
1 1 2 1
Direct
0.0000 0.0000 0.0000
0.5000 0.5000 0.5000
0.0000 0.5000 0.0000
0.5000 0.0000 0.0000
0.0000 0.0000 0.5000
```

Values from the calculation:
**Density of states at the Fermi level**: 0.8857 states/eV/atom
**Energy relative to the lowest polymorph listed for this composition**: 0 meV per atom
**E_form**: -0.43 eV per atom
**Final energy**: -24.81 eV for the cell shown